KLiAs2Se | Alexandria via LeMat-Bulk | PBE-GGA | optimized geometry; ΔE to the lowest computed polymorph = 0 meV per atom; V = 23.13 A^3/atom; symmetry = No. 123; ΔE_f (raw) = -0.0018 eV/atom
1.0
4.743 0.000 0.000
0.000 4.743 0.000
0.000 0.000 5.142
K Se Li As
1 1 1 2
Direct
0.500 0.500 0.500
0.000 0.000 0.500
0.000 0.000 0.000
0.000 0.500 0.000
0.500 0.000 0.000

Ca2TlP2 | Alexandria via LeMat-Bulk | PBE-GGA | optimized geometry; ΔE to the lowest computed polymorph = 73 meV per atom; energy of formation from the pure elements = -0.57 eV per atom; V = 25.99 A^3/atom; symmetry = No. 139
1.0
-4.816 1.273 -0.144
-0.805 -2.572 4.191
-1.764 3.629 4.851
Ca P Tl
2 2 1
Direct
0.250 0.750 0.500
0.750 0.250 0.500
0.608 0.608 0.783
0.392 0.392 0.217
0.000 0.000 0.000